1.
The following is a GGA-PBE calculation of a relaxed Y3AlN crystal, from the Alexandria database.

E_form (uncorrected) = -0.569 eV per atom

Lattice parameters (Å, degrees): 3.9727 3.9727 17.8584 90.00 90.00 120.00
Closest atoms and distances in Å follow each position.
Positions (direct):
Y (0.6667, 0.3333, 0.1113)  1 N 2.48
Y (0.3333, 0.6667, 0.8887)  1 N 2.48
Y (0.3333, 0.6667, 0.6113)  1 N 2.48
Y (0.6667, 0.3333, 0.3887)  1 N 2.48
Y (0.0000, 0.0000, 0.2500)  3 N 2.29
Y (0.0000, 0.0000, 0.7500)  3 N 2.29
Al (0.0000, 0.0000, 0.0000)  6 Y 3.03
Al (0.0000, 0.0000, 0.5000)  6 Y 3.03
N (0.3333, 0.6667, 0.7500)  5 Y 2.29-2.48
N (0.6667, 0.3333, 0.2500)  5 Y 2.29-2.48


2.
The following is a GGA-PBE calculation of a relaxed SrBi3Br3O4 crystal, from the Alexandria database.

E_form (uncorrected) = -1.461 eV per atom

Lattice parameters (Å, degrees): 15.6523 15.6523 15.6523 165.32 165.32 20.81
Closest atoms and distances in Å follow each position.
Positions (direct):
O (0.1095, 0.6095, 0.5000)  2 Bi 2.22
O (0.6095, 0.1095, 0.5000)  2 Bi 2.22
O (0.3887, 0.8887, 0.5000)  4 Bi 2.33-2.39
O (0.8887, 0.3887, 0.5000)  4 Bi 2.33-2.39
Br (0.2104, 0.2104, 0.0000)  4 Sr 3.24
Br (0.4830, 0.4830, 0.0000)  4 Bi 3.30, 4 O 3.53
Br (0.7994, 0.7994, 0.0000)  4 Bi 3.18, 4 O 3.40
Bi (0.3465, 0.3465, 0.0000)  4 O 2.39
Bi (0.9276, 0.9276, 0.0000)  4 O 2.33
Bi (0.0779, 0.0779, 0.0000)  4 O 2.22
Sr (0.6588, 0.6588, 0.0000)  4 O 2.51


3.
The following is a GGA-PBE calculation of a relaxed K2Na2OsO6 crystal, from the Alexandria database.

E_form (uncorrected) = -1.398 eV per atom

Lattice parameters (Å, degrees): 5.7047 5.7047 6.4018 100.44 100.44 116.52
Closest atoms and distances in Å follow each position.
Positions (direct):
O (0.1945, 0.1945, 0.3230)  1 Os 1.89
O (0.3307, 0.0553, 0.6819)  1 Os 1.89
O (0.8055, 0.8055, 0.6770)  1 Os 1.89
O (0.9447, 0.6693, 0.3181)  1 Os 1.89
O (0.0553, 0.3307, 0.6819)  1 Os 1.89
O (0.6693, 0.9447, 0.3181)  1 Os 1.89
K (0.1814, 0.8186, 0.0000)  6 O 2.66-2.84
K (0.8186, 0.1814, 0.0000)  6 O 2.66-2.84
Os (0.0000, 0.0000, 0.5000)  6 O 1.89
Na (0.6586, 0.3414, 0.5000)  6 O 2.36-2.50
Na (0.3414, 0.6586, 0.5000)  6 O 2.36-2.50


4.
The following is a GGA-PBE calculation of a relaxed Zr2HgSb crystal, from the Alexandria database.

E_form (uncorrected) = -0.354 eV per atom
Offset from the most stable computed form = 0 meV per atom

Lattice parameters (Å, degrees): 5.3368 5.3368 5.3368 131.86 126.39 74.89
Closest atoms and distances in Å follow each position.
Positions (direct):
Zr (0.4971, 0.4971, 0.0000)  4 Sb 3.02-3.22, 4 Hg 3.05-3.19, 4 Zr 3.25
Zr (0.0029, 0.0029, 0.0000)  4 Sb 3.02-3.22, 4 Hg 3.05-3.19, 4 Zr 3.25
Hg (0.7500, 0.2500, 0.5000)  8 Zr 3.05-3.19, 4 Sb 3.24
Sb (0.2500, 0.7500, 0.5000)  8 Zr 3.02-3.22, 4 Hg 3.24


Q: Which value of E_form (uncorrected) does entry 4 give?
A: -0.354 eV per atom


Q: The highest E_form (uncorrected) belongs to which entry?
A: Zr2HgSb